# Co2NiOs

Crystalline Co2NiOs at its relaxed geometry (PBE, the Alexandria database).

Summary:
Energy relative to the lowest polymorph listed for this composition ... 23 meV/atom
Space-group type ... Pmm2
Total magnetic moment ... 0.62 μB per atom
E_form ... 136 meV/atom
V ... 47 Å³ per cell

The structure in POSCAR format:
```
Co2NiOs
1.0
-1.1858 1.5213 -1.6938
-1.8766 -2.8422 -1.2391
-3.6341 0.9272 3.3771
Co Ni Os
2 1 1
direct
0.0000 0.0000 0.0017
0.5000 0.5000 0.2500
0.0000 0.0000 0.4937
0.5000 0.5000 0.7545
```